Entry 1:
CePuThHg | PBE | optimized geometry

Unit cell a=5.302 b=5.302 c=5.302 alpha=60.00 beta=60.00 gamma=60.00
Element x y z (fractional)
Ce 0.000 0.000 0.000
Pu 0.250 0.250 0.250
Th 0.750 0.750 0.750
Hg 0.500 0.500 0.500

Properties
Mass density: 12.87 Mg/m³
Energy relative to the elements: 5 kJ per mole of atoms
Raw total energy: -27.77 eV per cell
Crystal system: cubic

---

Entry 2:
Ce4PuTlHg | PBE | optimized geometry

Unit cell a=5.819 b=6.766 c=9.965 alpha=90.00 beta=99.03 gamma=90.00
Element x y z (fractional)
Ce 0.141 0.250 0.076
Ce 0.230 0.750 0.405
Ce 0.291 0.002 0.731
Ce 0.291 0.498 0.731
Ce 0.709 0.502 0.269
Ce 0.709 0.998 0.269
Ce 0.770 0.250 0.595
Ce 0.859 0.750 0.924
Pu 0.032 0.250 0.817
Pu 0.968 0.750 0.183
Tl 0.231 0.250 0.413
Tl 0.769 0.750 0.587
Hg 0.390 0.750 0.034
Hg 0.610 0.250 0.966

Properties
Mass density: 10.37 Mg/m³
Energy relative to the elements: -11 kJ per mole of atoms
Raw total energy: -83.13 eV per cell
Crystal system: monoclinic

---

Number 1: M_tot 7.12 μB per cell. Number 2: M_tot 9.28 μB per cell.